10
Lattice="7.7065 0.0000 0.0000 -1.8550 7.5192 0.0000 -3.4382 -3.3186 6.3123" Properties=species:S:1:pos:R:3 comment="GGA-PBE K2TmHBr6, optimized geometry" total_magnetization_mub_per_fu=0.0 dft_energy_ev_per_atom=-3.470 pbc="T T T"
K 0.1065 2.2550 1.2542
K 2.3068 1.9456 5.0581
Tm -1.7191 -1.6593 3.1561
H 3.8533 0.0000 0.0000
Br -1.2282 5.1569 1.9531
Br -3.0032 4.5078 5.6753
Br -0.5799 0.6761 4.0343
Br 2.9931 3.5245 2.2780
Br 5.4164 -0.3072 0.6370
Br 3.6414 -0.9563 4.3592